No. 1
# PBE Tl2Hg2Au, relaxed
# mass density	11812	kg/m³
# offset from the most stable computed form	0.000	eV/atom
data_Tl2Hg2Au
_chemical_formula_sum 'Tl8 Hg8 Au4'
_cell_length_a 6.9481
_cell_length_b 6.9533
_cell_length_c 12.1948
_cell_angle_alpha 90.00
_cell_angle_beta 106.04
_cell_angle_gamma 90.00
_space_group_name_H-M_alt 'C 1 2/c 1'
_space_group_IT_number 15
loop_
_space_group_symop_operation_xyz
'x,y,z'
'-x,-y,-z'
'-x,y,-z+1/2'
'x,-y,z+1/2'
'x+1/2,y+1/2,z'
'-x+1/2,-y+1/2,-z'
'-x+1/2,y+1/2,-z+1/2'
'x+1/2,-y+1/2,z+1/2'
loop_
_atom_site_label
_atom_site_fract_x
_atom_site_fract_y
_atom_site_fract_z
Tl1 0.1787 0.1243 0.1112
Hg1 0.1722 0.3769 0.5941
Au1 0.0000 0.1294 0.7500

---

No. 2
# PBE TlHgAu2, relaxed
# mass density	14868	kg/m³
# offset from the most stable computed form	0.100	eV/atom
data_TlHgAu2
_chemical_formula_sum 'Tl2 Hg2 Au4'
_cell_length_a 5.9899
_cell_length_b 7.7702
_cell_length_c 3.8406
_cell_angle_alpha 90.00
_cell_angle_beta 93.28
_cell_angle_gamma 90.00
_space_group_name_H-M_alt 'C 1 2/m 1'
_space_group_IT_number 12
loop_
_space_group_symop_operation_xyz
'x,y,z'
'-x,-y,-z'
'-x,y,-z'
'x,-y,z'
'x+1/2,y+1/2,z'
'-x+1/2,-y+1/2,-z'
'-x+1/2,y+1/2,-z'
'x+1/2,-y+1/2,z'
loop_
_atom_site_label
_atom_site_fract_x
_atom_site_fract_y
_atom_site_fract_z
Tl1 0.0000 0.0000 0.0000
Hg1 0.0000 0.5000 0.0000
Au1 0.2500 0.2500 0.5000

---

No. 3
# PBE Tl3Hg5Au3, relaxed
# mass density	11043	kg/m³
data_Tl3Hg5Au3
_chemical_formula_sum 'Tl3 Hg5 Au3'
_cell_length_a 9.0639
_cell_length_b 9.0639
_cell_length_c 4.6645
_cell_angle_alpha 90.00
_cell_angle_beta 90.00
_cell_angle_gamma 120.00
_space_group_name_H-M_alt 'P -6 2 m'
_space_group_IT_number 189
_space_group_name_Hall 'P -6 -2'
loop_
_atom_site_label
_atom_site_fract_x
_atom_site_fract_y
_atom_site_fract_z
Tl1 0.0000 0.5536 0.0000
Hg1 0.0000 0.7965 0.5000
Hg2 0.3333 0.6667 0.5000
Au1 0.0000 0.3567 0.5000

---

No. 4
# PBE TlHg4Au2, relaxed
# mass density	13161	kg/m³
# offset from the most stable computed form	0.000	eV/atom
data_TlHg4Au2
_chemical_formula_sum 'Tl4 Hg16 Au8'
_cell_length_a 19.3557
_cell_length_b 4.3252
_cell_length_c 8.4440
_cell_angle_alpha 90.00
_cell_angle_beta 90.00
_cell_angle_gamma 90.00
_space_group_name_H-M_alt 'P n m a'
_space_group_IT_number 62
loop_
_space_group_symop_operation_xyz
'x,y,z'
'-x,-y,-z'
'-x+1/2,-y,z+1/2'
'x+1/2,y,-z+1/2'
'x+1/2,-y+1/2,-z+1/2'
'-x+1/2,y+1/2,z+1/2'
'-x,y+1/2,-z'
'x,-y+1/2,z'
loop_
_atom_site_label
_atom_site_fract_x
_atom_site_fract_y
_atom_site_fract_z
Tl1 0.1402 0.2500 0.0685
Hg1 0.0359 0.7500 0.8631
Hg2 0.0706 0.2500 0.5189
Hg3 0.1847 0.7500 0.7824
Hg4 0.1889 0.7500 0.3505
Au1 0.0462 0.7500 0.2683
Au2 0.2209 0.2500 0.5680

---

No. 5
# PBE Tl8Hg3Au4, relaxed
# mass density	11256	kg/m³
data_Tl8Hg3Au4
_chemical_formula_sum 'Tl16 Hg6 Au8'
_cell_length_a 12.3599
_cell_length_b 12.1783
_cell_length_c 7.3465
_cell_angle_alpha 90.00
_cell_angle_beta 126.19
_cell_angle_gamma 90.00
_space_group_name_H-M_alt 'C 1 2/m 1'
_space_group_IT_number 12
loop_
_space_group_symop_operation_xyz
'x,y,z'
'-x,-y,-z'
'-x,y,-z'
'x,-y,z'
'x+1/2,y+1/2,z'
'-x+1/2,-y+1/2,-z'
'-x+1/2,y+1/2,-z'
'x+1/2,-y+1/2,z'
loop_
_atom_site_label
_atom_site_fract_x
_atom_site_fract_y
_atom_site_fract_z
Tl1 0.0000 0.2401 0.0000
Tl2 0.0000 0.2478 0.5000
Tl3 0.2339 0.0000 0.9862
Tl4 0.2394 0.0000 0.4830
Hg1 0.0000 0.5000 0.0000
Hg2 0.2500 0.2500 0.0000
Au1 0.0000 0.0000 0.0000
Au2 0.0000 0.0000 0.5000
Au3 0.2500 0.2500 0.5000

---

No. 6
# PBE Tl8HgAu2, relaxed
# mass density	11463	kg/m³
data_Tl8HgAu2
_chemical_formula_sum 'Tl16 Hg2 Au4'
_cell_length_a 9.0021
_cell_length_b 13.0117
_cell_length_c 5.9131
_cell_angle_alpha 90.00
_cell_angle_beta 111.15
_cell_angle_gamma 90.00
_space_group_name_H-M_alt 'C 1 2/m 1'
_space_group_IT_number 12
loop_
_space_group_symop_operation_xyz
'x,y,z'
'-x,-y,-z'
'-x,y,-z'
'x,-y,z'
'x+1/2,y+1/2,z'
'-x+1/2,-y+1/2,-z'
'-x+1/2,y+1/2,-z'
'x+1/2,-y+1/2,z'
loop_
_atom_site_label
_atom_site_fract_x
_atom_site_fract_y
_atom_site_fract_z
Tl1 0.0000 0.2387 0.0000
Tl2 0.1202 0.5000 0.8319
Tl3 0.2017 0.1226 0.5905
Hg1 0.0000 0.0000 0.0000
Au1 0.0000 0.3170 0.5000

---

No. 7
# PBE Tl3Hg12Au, relaxed
# mass density	12179	kg/m³
data_Tl3Hg12Au
_chemical_formula_sum 'Tl3 Hg12 Au1'
_cell_length_a 4.2832
_cell_length_b 5.1401
_cell_length_c 19.9236
_cell_angle_alpha 90.00
_cell_angle_beta 90.00
_cell_angle_gamma 90.00
_space_group_name_H-M_alt 'P m m m'
_space_group_IT_number 47
loop_
_space_group_symop_operation_xyz
'x,y,z'
'-x,-y,-z'
'-x,-y,z'
'x,y,-z'
'x,-y,-z'
'-x,y,z'
'-x,y,-z'
'x,-y,z'
loop_
_atom_site_label
_atom_site_fract_x
_atom_site_fract_y
_atom_site_fract_z
Tl1 0.0000 0.0000 0.0000
Tl2 0.0000 0.0000 0.2702
Hg1 0.0000 0.5000 0.1312
Hg2 0.0000 0.5000 0.3844
Hg3 0.5000 0.0000 0.1337
Hg4 0.5000 0.0000 0.3965
Hg5 0.5000 0.5000 0.0000
Hg6 0.5000 0.5000 0.2583
Hg7 0.5000 0.5000 0.5000
Au1 0.0000 0.0000 0.5000

---

No. 8
# PBE Tl3Hg4Au2, relaxed
# mass density	12353	kg/m³
# offset from the most stable computed form	0.000	eV/atom
data_Tl3Hg4Au2
_chemical_formula_sum 'Tl6 Hg8 Au4'
_cell_length_a 13.8991
_cell_length_b 3.8373
_cell_length_c 9.1209
_cell_angle_alpha 90.00
_cell_angle_beta 90.40
_cell_angle_gamma 90.00
_space_group_name_H-M_alt 'C 1 2/m 1'
_space_group_IT_number 12
loop_
_space_group_symop_operation_xyz
'x,y,z'
'-x,-y,-z'
'-x,y,-z'
'x,-y,z'
'x+1/2,y+1/2,z'
'-x+1/2,-y+1/2,-z'
'-x+1/2,y+1/2,-z'
'x+1/2,-y+1/2,z'
loop_
_atom_site_label
_atom_site_fract_x
_atom_site_fract_y
_atom_site_fract_z
Tl1 0.0000 0.0000 0.0000
Tl2 0.1312 0.5000 0.2775
Hg1 0.0569 0.0000 0.6449
Hg2 0.1827 0.5000 0.9126
Au1 0.2129 0.5000 0.6005

---

no.,calculated formation energy (meV/atom)
1,-10.0
2,99.1
3,74.3
4,18.9
5,25.9
6,1.7
7,9.7
8,-8.6